[1]
Here is a relaxed ReSiP crystal from the Alexandria database. Energies are from PBE.

The structure in POSCAR format:
```
ReSiP
1.0
6.8609 0.0000 0.0000
-3.4304 5.9417 0.0000
0.0000 0.0000 3.1790
Re Si P
3 3 3
Direct
0.0000 0.7312 0.0000
0.2688 0.2688 0.0000
0.7312 0.0000 0.0000
0.0000 0.0000 0.5000
0.3333 0.6667 0.0000
0.6667 0.3333 0.0000
0.0000 0.3563 0.5000
0.3563 0.0000 0.5000
0.6437 0.6437 0.5000
```

Computed properties:
DOS at the Fermi energy = 3.6 states/eV/cell
Uncorrected formation energy = 0.3427 eV per atom

[2]
Here is a relaxed ReSiP3 crystal from the Alexandria database. Energies are from PBE.

The structure in POSCAR format:
```
ReSiP3
1.0
4.3849 0.0000 0.0000
0.0000 4.3849 0.0000
0.0000 0.0000 4.3849
Re Si P
1 1 3
Direct
0.0000 0.0000 0.0000
0.5000 0.5000 0.5000
0.0000 0.5000 0.5000
0.5000 0.0000 0.5000
0.5000 0.5000 0.0000
```

Computed properties:
DOS at the Fermi energy = 3.8 states/eV/cell
Uncorrected formation energy = 1.2921 eV per atom

| no. | offset from the most stable computed form (meV per atom) |
| --- | --- |
| 1 | 504.0 |
| 2 | 392.2 |